Entry 1:
This record from the Alexandria database describes a relaxed structure of Li2CrNiP2O8. The functional is GGA+U.

Cell: 4.7459 6.0414 10.2351 Å, 90.00 90.47 90.00°
Closest atoms and distances in Å follow each position.
Space group P2_1/m (No. 11)
Unique sites:
Li1 0.0000 0.0000 0.0000  6 O 2.13-2.18
Li2 0.5000 0.0000 0.5000  6 O 2.13-2.21
Cr1 0.0293 0.2500 0.7235  6 O 2.10-2.27
Ni1 0.4824 0.2500 0.2218  6 O 2.06-2.16
P1 0.0841 0.7500 0.5954  4 O 1.54-1.57
P2 0.4183 0.7500 0.0915  4 O 1.54-1.57
O1 0.1978 0.7500 0.4534  1 P 1.55
O2 0.2271 0.5477 0.6662  1 P 1.57
O3 0.2395 0.2500 0.3985  1 P 1.54
O4 0.2574 0.2500 0.9036  1 P 1.54
O5 0.2842 0.5443 0.1620  1 P 1.57
O6 0.2963 0.7500 0.9500  1 P 1.56



Entry 2:
This record from the Alexandria database describes a relaxed structure of LiCr3NiS6O24. The functional is GGA+U.

Cell: 8.2855 8.3164 8.9074 Å, 90.30 117.69 119.71°
Closest atoms and distances in Å follow each position.
Space group P1 (No. 1)
Unique sites:
Li1 0.0000 0.0000 0.0000  4 O 1.99-2.04
Cr1 0.1022 0.4335 0.1879  6 O 2.00-2.05
Cr2 0.1112 0.9308 0.6993  6 O 1.98-2.05
Cr3 0.6954 0.2294 0.5719  6 O 1.99-2.01
Ni1 0.7033 0.7320 0.0980  6 O 2.02-2.15
S1 0.1907 0.3280 0.8877  4 O 1.45-1.53
S2 0.1971 0.1270 0.3864  4 O 1.47-1.49
S3 0.6150 0.8348 0.3902  4 O 1.47-1.50
S4 0.6176 0.0516 0.8918  4 O 1.48-1.50
S5 0.9028 0.5400 0.3899  4 O 1.47-1.49
S6 0.9061 0.6195 0.8900  4 O 1.46-1.52
O1 0.0244 0.8221 0.8754  1 S 1.52
O2 0.0346 0.6874 0.5664  1 S 1.49
O3 0.0409 0.9481 0.2297  1 S 1.49
O4 0.0645 0.5681 0.3439  1 S 1.49
O5 0.0821 0.6024 0.0302  1 S 1.49
O6 0.1324 0.2857 0.0288  1 S 1.53
O7 0.1339 0.2678 0.3516  1 S 1.48
O8 0.2012 0.0823 0.5475  1 S 1.47
O9 0.2494 0.1897 0.8691  1 S 1.49
O10 0.3695 0.5292 0.9409  1 S 1.45
O11 0.4006 0.9620 0.8714  1 S 1.48
O12 0.4180 0.2159 0.4138  1 S 1.48
O13 0.4323 0.6292 0.3395  1 S 1.49
O14 0.5484 0.9637 0.4168  1 S 1.49
O15 0.5967 0.0851 0.7228  1 S 1.48
O16 0.6695 0.8740 0.2537  1 S 1.47
O17 0.6927 0.9190 0.9333  1 S 1.49
O18 0.7310 0.5596 0.2538  1 S 1.47
O19 0.7507 0.6010 0.9354  1 S 1.46
O20 0.7749 0.2392 0.0398  1 S 1.50
O21 0.7885 0.4796 0.7156  1 S 1.47
O22 0.7958 0.3427 0.4096  1 S 1.49
O23 0.8071 0.8730 0.5644  1 S 1.50
O24 0.9944 0.2806 0.7168  1 S 1.47



Entry 3:
This record from the Alexandria database describes a relaxed structure of Li3Cr13Ni3S24O96. The functional is GGA+U.

Cell: 8.2963 8.8979 27.6747 Å, 84.60 81.67 62.27°
Closest atoms and distances in Å follow each position.
Space group P1 (No. 1)
Unique sites:
Li1 0.0000 0.0000 0.0000  4 O 1.95-2.14
Li2 0.2468 0.2537 0.2506  4 O 1.96-2.17
Li3 0.7499 0.7477 0.7474  4 O 1.96-2.07
Cr1 0.0560 0.6535 0.4762  6 O 2.00-2.03
Cr2 0.1724 0.9926 0.8985  6 O 1.97-2.05
Cr3 0.1799 0.7924 0.0996  6 O 1.98-2.06
Cr4 0.3100 0.0941 0.5267  6 O 2.00-2.02
Cr5 0.4234 0.2432 0.1485  6 O 1.96-2.06
Cr6 0.4274 0.0410 0.3500  6 O 1.99-2.06
Cr7 0.5542 0.1543 0.9753  6 O 2.00-2.04
Cr8 0.5575 0.3462 0.7770  6 O 2.00-2.02
Cr9 0.6738 0.4918 0.4003  6 O 1.97-2.04
Cr10 0.6773 0.2980 0.5979  6 O 1.97-2.02
Cr11 0.8011 0.4037 0.2256  6 O 2.00-2.04
Cr12 0.9244 0.5464 0.8504  6 O 1.98-2.05
Cr13 0.9278 0.7401 0.6482  6 O 1.98-2.08
Ni1 0.0611 0.8372 0.2782  6 O 2.05-2.06
Ni2 0.2998 0.9108 0.7249  6 O 2.05-2.13
Ni3 0.8120 0.5873 0.0285  6 O 2.04-2.07
S1 0.0023 0.2027 0.3235  4 O 1.45-1.53
S2 0.0789 0.5792 0.1988  4 O 1.46-1.53
S3 0.0935 0.0097 0.6238  4 O 1.46-1.50
S4 0.1382 0.6360 0.7507  4 O 1.46-1.52
S5 0.1410 0.0618 0.1781  4 O 1.45-1.51
S6 0.2335 0.4334 0.0522  4 O 1.46-1.50
S7 0.2543 0.4565 0.5726  4 O 1.48-1.49
S8 0.3361 0.8298 0.4485  4 O 1.48-1.49
S9 0.3436 0.2594 0.8749  4 O 1.48-1.49
S10 0.3916 0.8823 0.9997  4 O 1.45-1.52
S11 0.3942 0.3117 0.4278  4 O 1.48-1.49
S12 0.4823 0.6806 0.3032  4 O 1.46-1.50
S13 0.5016 0.7059 0.8235  4 O 1.47-1.50
S14 0.5859 0.0825 0.6978  4 O 1.46-1.53
S15 0.5961 0.5072 0.1262  4 O 1.46-1.50
S16 0.6395 0.5656 0.6775  4 O 1.46-1.52
S17 0.6403 0.1319 0.2503  4 O 1.45-1.52
S18 0.7294 0.9364 0.5529  4 O 1.48-1.50
S19 0.7538 0.9528 0.0734  4 O 1.45-1.53
S20 0.8323 0.3289 0.9499  4 O 1.46-1.53
S21 0.8469 0.7548 0.3765  4 O 1.46-1.50
S22 0.8895 0.3860 0.5005  4 O 1.48-1.49
S23 0.8908 0.8136 0.9279  4 O 1.45-1.51
S24 0.9766 0.1897 0.8036  4 O 1.46-1.50
O1 0.0110 0.7378 0.3451  1 S 1.46
O2 0.0186 0.1707 0.9481  1 S 1.53
O3 0.0310 0.8711 0.9351  1 S 1.51
O4 0.0342 0.0297 0.3190  1 S 1.45
O5 0.0430 0.6453 0.2475  1 S 1.46
O6 0.0512 0.2238 0.5105  1 S 1.48
O7 0.0636 0.8610 0.6151  1 S 1.50
O8 0.0825 0.5383 0.6060  1 S 1.48
O9 0.0840 0.7027 0.1600  1 S 1.47
O10 0.0862 0.4307 0.0299  1 S 1.46
O11 0.1056 0.6310 0.6997  1 S 1.48
O12 0.1123 0.0183 0.6750  1 S 1.46
O13 0.1475 0.1092 0.7714  1 S 1.46
O14 0.1552 0.9324 0.2159  1 S 1.45
O15 0.1617 0.2073 0.3411  1 S 1.49
O16 0.1631 0.7825 0.7598  1 S 1.46
O17 0.1814 0.9941 0.1284  1 S 1.48
O18 0.1850 0.4222 0.8632  1 S 1.48
O19 0.1949 0.7780 0.4424  1 S 1.48
O20 0.1977 0.6120 0.0580  1 S 1.49
O21 0.2065 0.4586 0.4320  1 S 1.49
O22 0.2213 0.9017 0.0331  1 S 1.52
O23 0.2404 0.5509 0.5246  1 S 1.49
O24 0.2426 0.3446 0.1014  1 S 1.50
O25 0.2604 0.9906 0.5913  1 S 1.48
O26 0.2657 0.4220 0.1976  1 S 1.53
O27 0.2789 0.1219 0.1849  1 S 1.51
O28 0.2893 0.2800 0.5667  1 S 1.48
O29 0.2942 0.4719 0.7625  1 S 1.48
O30 0.3008 0.9006 0.4973  1 S 1.48
O31 0.3126 0.1121 0.8665  1 S 1.49
O32 0.3228 0.9624 0.4103  1 S 1.48
O33 0.3270 0.7945 0.8547  1 S 1.47
O34 0.3348 0.6775 0.2811  1 S 1.46
O35 0.3540 0.8827 0.9488  1 S 1.48
O36 0.3691 0.2638 0.9264  1 S 1.48
O37 0.4080 0.4551 0.5943  1 S 1.48
O38 0.4091 0.1788 0.4658  1 S 1.48
O39 0.4119 0.3492 0.0210  1 S 1.49
O40 0.4142 0.0342 0.0082  1 S 1.49
O41 0.4272 0.2412 0.3788  1 S 1.48
O42 0.4375 0.6716 0.1141  1 S 1.49
O43 0.4417 0.0398 0.6905  1 S 1.46
O44 0.4461 0.8593 0.3088  1 S 1.49
O45 0.4566 0.7115 0.6794  1 S 1.46
O46 0.4701 0.1497 0.2833  1 S 1.52
O47 0.4939 0.5912 0.3522  1 S 1.50
O48 0.4997 0.7941 0.7747  1 S 1.50
O49 0.5083 0.2417 0.8420  1 S 1.48
O50 0.5235 0.6831 0.4450  1 S 1.49
O51 0.5323 0.5303 0.8185  1 S 1.48
O52 0.5355 0.3643 0.4331  1 S 1.48
O53 0.5465 0.7231 0.0110  1 S 1.45
O54 0.5536 0.1510 0.7471  1 S 1.48
O55 0.5613 0.3622 0.1169  1 S 1.50
O56 0.5767 0.9340 0.5318  1 S 1.48
O57 0.5821 0.0454 0.1052  1 S 1.47
O58 0.5986 0.2057 0.6602  1 S 1.47
O59 0.6035 0.1345 0.1992  1 S 1.48
O60 0.6109 0.5106 0.1791  1 S 1.49
O61 0.6527 0.4350 0.7164  1 S 1.48
O62 0.6551 0.7028 0.8463  1 S 1.49
O63 0.6606 0.5972 0.2717  1 S 1.49
O64 0.6632 0.2830 0.2597  1 S 1.49
O65 0.6851 0.9177 0.3652  1 S 1.49
O66 0.6900 0.1144 0.5585  1 S 1.48
O67 0.6897 0.4890 0.6289  1 S 1.48
O68 0.6914 0.2805 0.9403  1 S 1.48
O69 0.7046 0.9637 0.9297  1 S 1.50
O70 0.7257 0.3991 0.5333  1 S 1.48
O71 0.7429 0.8435 0.6013  1 S 1.50
O72 0.7449 0.0438 0.0232  1 S 1.53
O73 0.7626 0.4880 0.0957  1 S 1.46
O74 0.7701 0.9225 0.6975  1 S 1.53
O75 0.7824 0.6191 0.6853  1 S 1.52
O76 0.7855 0.7799 0.0690  1 S 1.45
O77 0.7953 0.9722 0.2613  1 S 1.45
O78 0.7964 0.3922 0.9989  1 S 1.46
O79 0.8143 0.6080 0.3676  1 S 1.50
O80 0.8227 0.1884 0.7824  1 S 1.48
O81 0.8324 0.2944 0.3560  1 S 1.47
O82 0.8395 0.4539 0.9120  1 S 1.47
O83 0.8597 0.3855 0.4492  1 S 1.48
O84 0.8664 0.7581 0.4289  1 S 1.49
O85 0.9018 0.6861 0.9659  1 S 1.45
O86 0.9018 0.8544 0.5200  1 S 1.48
O87 0.9118 0.9574 0.0918  1 S 1.49
O88 0.9166 0.5343 0.5101  1 S 1.49
O89 0.9321 0.3701 0.8100  1 S 1.49
O90 0.9328 0.7451 0.8783  1 S 1.48
O91 0.9379 0.1710 0.6090  1 S 1.49
O92 0.9387 0.5287 0.1901  1 S 1.48
O93 0.9528 0.2098 0.1809  1 S 1.50
O94 0.9681 0.6486 0.7832  1 S 1.52
O95 0.9860 0.0993 0.8525  1 S 1.50
O96 0.9920 0.2943 0.2734  1 S 1.53



| no. | E (eV per atom) | Fermi-level density of states (states/eV/f.u.) |
| --- | --- | --- |
| 1 | -6.575 | 0.00 |
| 2 | -6.398 | 0.00 |
| 3 | -6.454 | 0.00 |